Arrangement a

Entry from OQMD: a relaxed Y5CoTe3 crystal (PBE).

Lattice parameters (Å, degrees): 8.198 8.198 4.135 90.00 90.00 120.00
Element x y z (fractional)
1 Y 0.000 0.677 0.000
2 Y 0.323 0.323 0.000
3 Y 0.333 0.667 0.500
4 Y 0.667 0.333 0.500
5 Y 0.677 0.000 0.000
6 Co 0.000 0.000 0.000
7 Te 0.000 0.259 0.500
8 Te 0.259 0.000 0.500
9 Te 0.741 0.741 0.500


Arrangement b

Entry from OQMD: a relaxed Y5CoTe3 crystal (PBE).

Lattice parameters (Å, degrees): 8.540 8.540 3.747 90.00 90.00 120.00
Element x y z (fractional)
1 Y 0.000 0.226 0.000
2 Y 0.226 0.000 0.000
3 Y 0.333 0.667 0.000
4 Y 0.667 0.333 0.000
5 Y 0.774 0.774 0.000
6 Co 0.000 0.000 0.500
7 Te 0.000 0.611 0.500
8 Te 0.389 0.389 0.500
9 Te 0.611 0.000 0.500


Least stable = arrangement a


Arrangement a

Entry from OQMD: a relaxed Th2Co7 crystal (PBE).

Lattice parameters (Å, degrees): 12.666 12.666 12.666 22.55 22.55 22.55
Element x y z (fractional)
1 Th 0.051 0.051 0.051
2 Th 0.146 0.146 0.146
3 Th 0.854 0.854 0.854
4 Th 0.949 0.949 0.949
5 Co 0.000 0.500 0.500
6 Co 0.110 0.607 0.607
7 Co 0.278 0.278 0.278
8 Co 0.388 0.388 0.388
9 Co 0.393 0.393 0.890
10 Co 0.393 0.890 0.393
11 Co 0.500 0.000 0.500
12 Co 0.500 0.500 0.000
13 Co 0.500 0.500 0.500
14 Co 0.607 0.110 0.607
15 Co 0.607 0.607 0.110
16 Co 0.612 0.612 0.612
17 Co 0.722 0.722 0.722
18 Co 0.890 0.393 0.393


Arrangement b

Entry from OQMD: a relaxed Th2Co7 crystal (PBE).

Lattice parameters (Å, degrees): 4.952 4.952 24.692 90.00 90.00 120.00
Element x y z (fractional)
1 Th 0.333 0.667 0.030
2 Th 0.333 0.667 0.174
3 Th 0.333 0.667 0.326
4 Th 0.333 0.667 0.470
5 Th 0.667 0.333 0.530
6 Th 0.667 0.333 0.674
7 Th 0.667 0.333 0.826
8 Th 0.667 0.333 0.970
9 Co 0.000 0.000 0.000
10 Co 0.000 0.000 0.168
11 Co 0.000 0.000 0.332
12 Co 0.000 0.000 0.500
13 Co 0.000 0.000 0.668
14 Co 0.000 0.000 0.832
15 Co 0.166 0.332 0.588
16 Co 0.166 0.332 0.912
17 Co 0.166 0.834 0.588
18 Co 0.166 0.834 0.912
19 Co 0.167 0.334 0.750
20 Co 0.167 0.833 0.750
21 Co 0.332 0.166 0.088
22 Co 0.332 0.166 0.412
23 Co 0.333 0.667 0.667
24 Co 0.333 0.667 0.833
25 Co 0.334 0.167 0.250
26 Co 0.666 0.833 0.750
27 Co 0.667 0.333 0.167
28 Co 0.667 0.333 0.333
29 Co 0.668 0.834 0.588
30 Co 0.668 0.834 0.912
31 Co 0.833 0.167 0.250
32 Co 0.833 0.666 0.250
33 Co 0.834 0.166 0.088
34 Co 0.834 0.166 0.412
35 Co 0.834 0.668 0.088
36 Co 0.834 0.668 0.412


Least stable = arrangement a


Arrangement a

Entry from OQMD: a relaxed Th2Co17 crystal (PBE).

Lattice parameters (Å, degrees): 6.284 6.284 6.284 83.09 83.09 83.09
Element x y z (fractional)
1 Th 0.156 0.156 0.156
2 Th 0.844 0.844 0.844
3 Co 0.000 0.500 0.500
4 Co 0.155 0.155 0.648
5 Co 0.155 0.648 0.155
6 Co 0.215 0.500 0.785
7 Co 0.215 0.785 0.500
8 Co 0.352 0.845 0.845
9 Co 0.403 0.403 0.403
10 Co 0.500 0.000 0.500
11 Co 0.500 0.215 0.785
12 Co 0.500 0.500 0.000
13 Co 0.500 0.785 0.215
14 Co 0.597 0.597 0.597
15 Co 0.648 0.155 0.155
16 Co 0.785 0.215 0.500
17 Co 0.785 0.500 0.215
18 Co 0.845 0.352 0.845
19 Co 0.845 0.845 0.352


Arrangement b

Entry from OQMD: a relaxed Th2Co17 crystal (PBE).

Lattice parameters (Å, degrees): 6.299 6.299 6.271 97.13 97.13 82.81
Element x y z (fractional)
1 Th 0.157 0.157 0.344
2 Th 0.843 0.843 0.656
3 Co 0.000 0.500 0.000
4 Co 0.155 0.155 0.852
5 Co 0.155 0.648 0.346
6 Co 0.214 0.786 0.000
7 Co 0.215 0.500 0.715
8 Co 0.352 0.845 0.654
9 Co 0.403 0.403 0.097
10 Co 0.500 0.000 0.000
11 Co 0.500 0.215 0.715
12 Co 0.500 0.500 0.500
13 Co 0.500 0.785 0.285
14 Co 0.597 0.597 0.903
15 Co 0.648 0.155 0.346
16 Co 0.785 0.500 0.285
17 Co 0.786 0.214 0.000
18 Co 0.845 0.352 0.654
19 Co 0.845 0.845 0.148


Least stable = arrangement a